# 1
First-principles (PBE) data for PmDy3Hg12 after structural relaxation, as listed in the Alexandria database.

Cell: 4.540 4.540 19.246 Å, 90.00 90.00 90.00°
Space group P4/mmm (No. 123)
Symmetry-distinct sites (fractional):
Pm 0.000 0.000 0.000 (multiplicity 1)
Dy 0.000 0.000 0.252 (multiplicity 2)
Dy 0.000 0.000 0.500 (multiplicity 1)
Hg 0.000 0.500 0.128 (multiplicity 4)
Hg 0.000 0.500 0.376 (multiplicity 4)
Hg 0.500 0.500 0.000 (multiplicity 1)
Hg 0.500 0.500 0.252 (multiplicity 2)
Hg 0.500 0.500 0.500 (multiplicity 1)

## Properties
formation energy	-31.1	kJ per mole of atoms

# 2
First-principles (PBE) data for BaAgTe3 after structural relaxation, as listed in the Alexandria database.

Cell: 5.553 5.553 5.553 Å, 90.00 90.00 90.00°
Space group Pm-3m (No. 221)
Symmetry-distinct sites (fractional):
Ba 0.000 0.000 0.000 (multiplicity 1)
Ag 0.500 0.500 0.500 (multiplicity 1)
Te 0.000 0.500 0.500 (multiplicity 3)

## Properties
energy relative to the elements, uncorrected	-0.501	eV per atom
distance to the lowest polymorph of the same formula	0.0	kJ/mol of atoms

# 3
First-principles (PBE) data for TbPr4Dy2Tm2 after structural relaxation, as listed in the Alexandria database.

Cell: 15.343 5.101 8.057 Å, 90.00 108.38 90.00°
Space group C2/m (No. 12)
Symmetry-distinct sites (fractional):
Tb 0.000 0.000 0.000 (multiplicity 2)
Pr 0.054 0.500 0.330 (multiplicity 4)
Pr 0.223 0.000 0.331 (multiplicity 4)
Dy 0.112 0.000 0.670 (multiplicity 4)
Tm 0.168 0.500 0.000 (multiplicity 4)

## Properties
formation energy	2.3	kJ per mole of atoms

# 4
First-principles (PBE) data for Nd5Sm2Er4 after structural relaxation, as listed in the Alexandria database.

Cell: 3.538 9.164 23.561 Å, 90.00 90.00 90.00°
Space group Immm (No. 71)
Symmetry-distinct sites (fractional):
Nd 0.000 0.000 0.000 (multiplicity 2)
Nd 0.000 0.300 0.356 (multiplicity 8)
Sm 0.000 0.500 0.231 (multiplicity 4)
Er 0.000 0.185 0.500 (multiplicity 4)
Er 0.000 0.500 0.096 (multiplicity 4)

## Properties
formation energy	17.3	kJ per mole of atoms
distance to the lowest polymorph of the same formula	3.5	kJ/mol of atoms

# 5
First-principles (PBE) data for CdTeAs2Os after structural relaxation, as listed in the Alexandria database.

Cell: 4.660 4.660 6.057 Å, 90.00 90.00 90.00°
Space group P4/mmm (No. 123)
Symmetry-distinct sites (fractional):
Cd 0.000 0.000 0.000 (multiplicity 1)
Te 0.500 0.500 0.000 (multiplicity 1)
As 0.000 0.500 0.500 (multiplicity 2)
Os 0.500 0.500 0.500 (multiplicity 1)

## Properties
energy relative to the elements, uncorrected	0.429	eV per atom

# 6
First-principles (PBE) data for WSeCl after structural relaxation, as listed in the Alexandria database.

Cell: 3.059 3.059 14.149 Å, 90.00 90.00 90.00°
Space group I4mm (No. 107)
Symmetry-distinct sites (fractional):
W 0.000 0.000 0.000 (multiplicity 2)
Se 0.000 0.000 0.393 (multiplicity 2)
Cl 0.000 0.000 0.613 (multiplicity 2)

## Properties
energy relative to the elements, uncorrected	-0.037	eV per atom
distance to the lowest polymorph of the same formula	43.0	kJ/mol of atoms

# 7
First-principles (PBE) data for ZrMn2Os after structural relaxation, as listed in the Alexandria database.

Cell: 3.263 4.318 4.378 Å, 90.00 90.00 90.00°
Space group Pmmm (No. 47)
Symmetry-distinct sites (fractional):
Zr 0.000 0.000 0.000 (multiplicity 1)
Mn 0.000 0.500 0.500 (multiplicity 1)
Mn 0.500 0.500 0.000 (multiplicity 1)
Os 0.500 0.000 0.500 (multiplicity 1)

## Properties
formation energy	-0.6	kJ per mole of atoms
distance to the lowest polymorph of the same formula	0.0	kJ/mol of atoms

# 8
First-principles (PBE) data for CsTiCuS2 after structural relaxation, as listed in the Alexandria database.

Cell: 5.949 14.940 5.441 Å, 90.00 90.00 90.00°
Space group Cmme (No. 67)
Symmetry-distinct sites (fractional):
Cs 0.000 0.250 0.231 (multiplicity 4)
Ti 0.250 0.000 0.500 (multiplicity 4)
Cu 0.000 0.000 0.000 (multiplicity 4)
S 0.000 0.101 0.711 (multiplicity 8)

## Properties
energy relative to the elements, uncorrected	-0.916	eV per atom

# 9
First-principles (PBE) data for Pr2Hg3Pd after structural relaxation, as listed in the Alexandria database.

Cell: 3.599 4.889 8.618 Å, 90.00 90.00 90.00°
Space group Pmm2 (No. 25)
Symmetry-distinct sites (fractional):
Pr 0.000 0.000 0.000 (multiplicity 1)
Pr 0.000 0.500 0.453 (multiplicity 1)
Hg 0.500 0.000 0.628 (multiplicity 1)
Hg 0.500 0.500 0.142 (multiplicity 1)
Hg 0.500 0.500 0.805 (multiplicity 1)
Pd 0.500 0.000 0.303 (multiplicity 1)

## Properties
formation energy	-51.1	kJ per mole of atoms

# 10
First-principles (PBE) data for Be2FeHg after structural relaxation, as listed in the Alexandria database.

Cell: 2.7371 2.7371 25.0569 Å, 90.00 90.00 120.00°
Space group R-3m (No. 166, hexagonal axes)
Symmetry-distinct sites (fractional):
Be 0.0000 0.0000 0.2353 (multiplicity 6)
Fe 0.0000 0.0000 0.5000 (multiplicity 3)
Hg 0.0000 0.0000 0.0000 (multiplicity 3)

## Properties
formation energy	47.6	kJ per mole of atoms

# 11
First-principles (PBE) data for CaMn2Pb after structural relaxation, as listed in the Alexandria database.

Cell: 3.446 3.472 7.336 Å, 90.00 90.00 90.00°
Space group Pmm2 (No. 25)
Symmetry-distinct sites (fractional):
Ca 0.000 0.000 0.000 (multiplicity 1)
Mn 0.000 0.000 0.443 (multiplicity 1)
Mn 0.500 0.500 0.279 (multiplicity 1)
Pb 0.500 0.500 0.673 (multiplicity 1)

## Properties
formation energy	26.9	kJ per mole of atoms
distance to the lowest polymorph of the same formula	16.3	kJ/mol of atoms

# 12
First-principles (PBE) data for YSeBr after structural relaxation, as listed in the Alexandria database.

Cell: 4.1574 4.1574 6.7491 Å, 90.00 90.00 120.00°
Space group P3m1 (No. 156)
Symmetry-distinct sites (fractional):
Y 0.0000 0.0000 0.0000 (multiplicity 1)
Se 0.6667 0.3333 0.2055 (multiplicity 1)
Br 0.3333 0.6667 0.7361 (multiplicity 1)

## Properties
energy relative to the elements, uncorrected	-1.841	eV per atom

# 13
First-principles (PBE) data for Th8Os3CSe4 after structural relaxation, as listed in the Alexandria database.

Cell: 8.1618 8.1618 21.7772 Å, 90.00 90.00 120.00°
Space group R-3m (No. 166, hexagonal axes)
Symmetry-distinct sites (fractional):
Th 0.0000 0.0000 0.2392 (multiplicity 6)
Th 0.0088 0.5044 0.2368 (multiplicity 18)
Os 0.0000 0.5000 0.5000 (multiplicity 9)
C 0.0000 0.0000 0.5000 (multiplicity 3)
Se 0.0000 0.0000 0.0000 (multiplicity 3)
Se 0.0000 0.5000 0.0000 (multiplicity 9)

## Properties
energy relative to the elements, uncorrected	-0.962	eV per atom

# 14
First-principles (PBE) data for Tb2Pm2Rh3 after structural relaxation, as listed in the Alexandria database.

Cell: 4.407 6.059 7.453 Å, 99.37 90.10 111.30°
Space group P-1 (No. 2)
Symmetry-distinct sites (fractional):
Tb 0.136 0.273 0.426 (multiplicity 2)
Pm 0.366 0.733 0.144 (multiplicity 2)
Rh 0.304 0.605 0.766 (multiplicity 2)
Rh 0.500 0.000 0.500 (multiplicity 1)

## Properties
formation energy	-59.4	kJ per mole of atoms
distance to the lowest polymorph of the same formula	8.5	kJ/mol of atoms

# 15
First-principles (PBE) data for Y4CrHg after structural relaxation, as listed in the Alexandria database.

Cell: 8.856 8.856 8.856 Å, 90.00 90.00 90.00°
Space group F-43m (No. 216)
Symmetry-distinct sites (fractional):
Y 0.125 0.125 0.125 (multiplicity 16)
Cr 0.250 0.250 0.750 (multiplicity 4)
Hg 0.000 0.000 0.500 (multiplicity 4)

## Properties
formation energy	57.2	kJ per mole of atoms

# 16
First-principles (PBE) data for Tb4TlAg after structural relaxation, as listed in the Alexandria database.

Cell: 3.637 3.637 12.871 Å, 90.00 90.00 90.00°
Space group P4/mmm (No. 123)
Symmetry-distinct sites (fractional):
Tb 0.000 0.000 0.144 (multiplicity 2)
Tb 0.500 0.500 0.338 (multiplicity 2)
Tl 0.000 0.000 0.500 (multiplicity 1)
Ag 0.500 0.500 0.000 (multiplicity 1)

## Properties
formation energy	-19.4	kJ per mole of atoms
distance to the lowest polymorph of the same formula	0.0	kJ/mol of atoms

# 17
First-principles (PBE) data for Dy2TmSc3Se6 after structural relaxation, as listed in the Alexandria database.

Cell: 17.272 3.959 7.957 Å, 90.00 103.20 90.00°
Space group C2/m (No. 12)
Symmetry-distinct sites (fractional):
Dy 0.168 0.000 0.335 (multiplicity 4)
Tm 0.000 0.500 0.000 (multiplicity 2)
Sc 0.000 0.500 0.500 (multiplicity 2)
Sc 0.169 0.000 0.832 (multiplicity 4)
Se 0.004 0.000 0.746 (multiplicity 4)
Se 0.162 0.500 0.591 (multiplicity 4)
Se 0.168 0.500 0.073 (multiplicity 4)

## Properties
energy relative to the elements, uncorrected	-1.653	eV per atom

# 18
First-principles (PBE) data for CaN3O after structural relaxation, as listed in the Alexandria database.

Cell: 4.618 4.618 4.618 Å, 90.00 90.00 90.00°
Space group Pm-3m (No. 221)
Symmetry-distinct sites (fractional):
Ca 0.000 0.000 0.000 (multiplicity 1)
N 0.000 0.000 0.500 (multiplicity 3)
O 0.500 0.500 0.500 (multiplicity 1)

## Properties
energy relative to the elements, uncorrected	2.602	eV per atom

# 19
First-principles (PBE) data for CrHgW2 after structural relaxation, as listed in the Alexandria database.

Cell: 3.197 4.518 9.066 Å, 90.00 90.00 90.00°
Space group Cmm2 (No. 35)
Symmetry-distinct sites (fractional):
Cr 0.000 0.000 0.000 (multiplicity 2)
Hg 0.000 0.500 0.743 (multiplicity 2)
W 0.000 0.000 0.463 (multiplicity 2)
W 0.000 0.500 0.219 (multiplicity 2)

## Properties
formation energy	45.2	kJ per mole of atoms

# 20
First-principles (PBE) data for La2Os2N5 after structural relaxation, as listed in the Alexandria database.

Cell: 3.890 3.890 8.000 Å, 90.00 90.00 90.00°
Space group P4/mmm (No. 123)
Symmetry-distinct sites (fractional):
La 0.000 0.000 0.000 (multiplicity 1)
La 0.000 0.000 0.500 (multiplicity 1)
Os 0.500 0.500 0.229 (multiplicity 2)
N 0.000 0.500 0.222 (multiplicity 4)
N 0.500 0.500 0.500 (multiplicity 1)

## Properties
energy relative to the elements, uncorrected	-0.470	eV per atom

no.,volume (A^3/atom),calculated total energy (eV/cell)
1,24.8,-27.3
2,34.2,-16.7
3,33.2,-83.4
4,34.7,-99.1
5,26.3,-22.4
6,22.1,-36.8
7,15.4,-38.1
8,24.2,-102.7
9,25.3,-18.8
10,13.5,-42.7
11,21.9,-22.9
12,33.7,-17.1
13,26.2,-394.8
14,26.1,-45.1
15,28.9,-128.9
16,28.4,-24.9
17,22.1,-146.8
18,19.7,-18.9
19,16.4,-67.9
20,13.5,-78.2